Entry from Alexandria: a relaxed structure of ZrPaPb2O8 (PBE).

Summary:
Fermi-level density of states: 1.949 states/eV per cell
formation energy from raw total energies: -2.24 eV per atom
size of the total moment: 0.000 μB per atom
density: 7.86 g/cm³

Cell: 5.1413 5.1426 6.9127 Å, 90.00 90.00 90.48°
Fractional coordinates of all 12 atoms:
Zr (0.0000, 0.0000, 0.0000)
Pa (0.0000, 0.0000, 0.5000)
Pb (0.5000, 0.5000, 0.7570)
Pb (0.5000, 0.5000, 0.2430)
O (0.1800, 0.8196, 0.2458)
O (0.7049, 0.7055, 0.0000)
O (0.8200, 0.1804, 0.2458)
O (0.8200, 0.1804, 0.7542)
O (0.2951, 0.2945, 0.0000)
O (0.1800, 0.8196, 0.7542)
O (0.6973, 0.6977, 0.5000)
O (0.3027, 0.3023, 0.5000)